(1)
ZrCd2Re | Alexandria | GGA-PBE | relaxed; SG = P4/mmm (123); relative energy among the computed polymorphs = 29.45 kJ/mol of atoms; mass density = 10.77 g/cm3; Fermi-level density of states = 1.09 states/eV/atom; formation energy = 0.4648 eV per atom
1.0
-1.525 3.328 -0.244
-2.823 -1.430 -1.857
-2.789 -0.915 4.945
Cd Re Zr
2 1 1
Direct
0.000 0.000 0.013
0.000 0.000 0.487
0.500 0.500 0.250
0.500 0.500 0.750


(2)
NpPaIr4 | Alexandria | GGA-PBE | relaxed; SG = F-43m (216); mass density = 18.99 g/cm3; Fermi-level density of states = 2.04 states/eV/atom; formation energy = -0.6105 eV per atom
1.0
-5.088 -1.398 -0.868
-2.399 -3.511 3.243
-3.832 1.640 3.350
Np Pa Ir
1 1 4
Direct
0.000 0.000 0.000
0.250 0.250 0.250
0.625 0.625 0.124
0.625 0.124 0.625
0.625 0.625 0.625
0.124 0.625 0.625